Computed, not measured: LaBeMo3 at its PBEsol-relaxed geometry at the SCAN level of DFT.

a b c (Å): 4.685 4.685 4.685
angles (deg): 90.00 90.00 90.00
Atoms (fractional coordinates):
Be  0.500  0.500  0.500
Mo  0.000  0.500  0.000
Mo  0.000  0.000  0.500
Mo  0.500  0.000  0.000
La  0.000  0.000  0.000

Calculated values
- Formation energy: 2.639 eV per atom
- Relative energy among the computed polymorphs: 1665.7 meV per atom
- Calculated total energy: -27.7837 eV/atom